(1)
A plane-wave DFT calculation with PBE was carried out for a relaxed structure of AcNdHgSb.

a = 7.9262 Å, b = 7.9262 Å, c = 7.9262 Å
α = 90.00°, β = 90.00°, γ = 90.00°
Fractional coordinates of all 16 atoms:
Ac1 0.0000 0.0000 0.0000
Ac2 0.0000 0.5000 0.5000
Ac3 0.5000 0.0000 0.5000
Ac4 0.5000 0.5000 0.0000
Nd1 0.0000 0.0000 0.5000
Nd2 0.0000 0.5000 0.0000
Nd3 0.5000 0.0000 0.0000
Nd4 0.5000 0.5000 0.5000
Hg1 0.2500 0.2500 0.7500
Hg2 0.2500 0.7500 0.2500
Hg3 0.7500 0.2500 0.2500
Hg4 0.7500 0.7500 0.7500
Sb1 0.2500 0.2500 0.2500
Sb2 0.2500 0.7500 0.7500
Sb3 0.7500 0.2500 0.7500
Sb4 0.7500 0.7500 0.2500

## Properties
Energy   -0.2921 Ry/atom
Space group   F-43m, No. 216
Fermi-level density of states   18.1 states/eV/cell
E_form (uncorrected)   -0.65 eV per atom
Size of the total moment   0.0 μB/f.u.

***

(2)
A plane-wave DFT calculation with PBE was carried out for a relaxed structure of LaScRe.

a = 6.7037 Å, b = 6.7037 Å, c = 6.7037 Å
α = 90.00°, β = 90.00°, γ = 90.00°
Fractional coordinates of all 12 atoms:
La1 0.0000 0.0000 0.0000
La2 0.0000 0.5000 0.5000
La3 0.5000 0.0000 0.5000
La4 0.5000 0.5000 0.0000
Sc1 0.0000 0.0000 0.5000
Sc2 0.0000 0.5000 0.0000
Sc3 0.5000 0.0000 0.0000
Sc4 0.5000 0.5000 0.5000
Re1 0.2500 0.2500 0.7500
Re2 0.2500 0.7500 0.2500
Re3 0.7500 0.2500 0.2500
Re4 0.7500 0.7500 0.7500

## Properties
Energy above the lowest structure with this stoichiometry   0.39 eV per formula unit
Energy   -0.5597 Ry/atom
Space group   F-43m, No. 216
Fermi-level density of states   14.7 states/eV/cell
Size of the total moment   0.0 μB/f.u.
Calculated formation energy   0.2867 eV/atom

***

(3)
A plane-wave DFT calculation with PBE was carried out for a relaxed structure of Tm5Mg2Pb5.

a = 8.6748 Å, b = 8.6748 Å, c = 10.2836 Å
α = 126.10°, β = 126.10°, γ = 31.71°
Fractional coordinates of all 12 atoms:
Tm1 0.0000 0.0000 0.0000
Tm2 0.0914 0.0914 0.7650
Tm3 0.1869 0.1869 0.5399
Tm4 0.8131 0.8131 0.4601
Tm5 0.9086 0.9086 0.2350
Mg1 0.3520 0.3520 0.9771
Mg2 0.6480 0.6480 0.0229
Pb1 0.2566 0.2566 0.1956
Pb2 0.4268 0.4268 0.7360
Pb3 0.5000 0.5000 0.5000
Pb4 0.5732 0.5732 0.2640
Pb5 0.7434 0.7434 0.8044

## Properties
Energy above the lowest structure with this stoichiometry   0.00 eV per formula unit
Energy   -0.2945 Ry/atom
Space group   C2/m, No. 12
Fermi-level density of states   5.8 states/eV/cell
Size of the total moment   0.0 μB/f.u.
Calculated formation energy   -0.3327 eV/atom

***

(4)
A plane-wave DFT calculation with PBE was carried out for a relaxed structure of Pm2Ho5Er3.

a = 7.9015 Å, b = 9.3758 Å, c = 9.3814 Å
α = 85.85°, β = 89.96°, γ = 65.12°
Fractional coordinates of all 20 atoms:
Pm1 0.0759 0.1493 0.0249
Pm2 0.3248 0.6502 0.7745
Pm3 0.6752 0.3498 0.2255
Pm4 0.9241 0.8507 0.9751
Ho1 0.0248 0.0510 0.6726
Ho2 0.1746 0.3509 0.7234
Ho3 0.2748 0.5498 0.4249
Ho4 0.4259 0.8501 0.4739
Ho5 0.4743 0.9500 0.8239
Ho6 0.5257 0.0500 0.1761
Ho7 0.5741 0.1499 0.5261
Ho8 0.7252 0.4502 0.5751
Ho9 0.8254 0.6491 0.2766
Ho10 0.9752 0.9490 0.3274
Er1 0.1266 0.2502 0.3761
Er2 0.2241 0.4492 0.0760
Er3 0.3769 0.7497 0.1263
Er4 0.6231 0.2503 0.8737
Er5 0.7759 0.5508 0.9240
Er6 0.8734 0.7498 0.6239

## Properties
Energy above the lowest structure with this stoichiometry   0.00 eV per formula unit
Energy   -0.3372 Ry/atom
Space group   P-1, No. 2
Fermi-level density of states   27.3 states/eV/cell
Size of the total moment   0.0 μB/f.u.
Calculated formation energy   0.0202 eV/atom

***

(5)
A plane-wave DFT calculation with PBE was carried out for a relaxed structure of BPIrAu.

a = 10.4729 Å, b = 2.8375 Å, c = 4.5928 Å
α = 90.00°, β = 93.42°, γ = 90.00°
Fractional coordinates of all 8 atoms:
B1 0.0000 0.0000 0.0000
B2 0.5000 0.5000 0.0000
P1 0.1032 0.0000 0.6632
P2 0.6032 0.5000 0.6632
Ir1 0.4894 0.0000 0.3380
Ir2 0.9894 0.5000 0.3380
Au1 0.3189 0.0000 0.8641
Au2 0.8189 0.5000 0.8641

## Properties
Energy above the lowest structure with this stoichiometry   0.17 eV per formula unit
Energy   -0.4397 Ry/atom
Space group   Cm, No. 8
Fermi-level density of states   0.9 states/eV/cell
Size of the total moment   0.0 μB/f.u.
Calculated formation energy   0.0737 eV/atom

***

(6)
A plane-wave DFT calculation with PBE was carried out for a relaxed structure of DyNb2Fe.

a = 2.9980 Å, b = 2.9980 Å, c = 30.0937 Å
α = 90.00°, β = 90.00°, γ = 120.00°
Fractional coordinates of all 12 atoms:
Dy1 0.0000 0.0000 0.0000
Dy2 0.3333 0.6667 0.6667
Dy3 0.6667 0.3333 0.3333
Nb1 0.0000 0.0000 0.1007
Nb2 0.0000 0.0000 0.8993
Nb3 0.3333 0.6667 0.5659
Nb4 0.3333 0.6667 0.7674
Nb5 0.6667 0.3333 0.2326
Nb6 0.6667 0.3333 0.4341
Fe1 0.0000 0.0000 0.5000
Fe2 0.3333 0.6667 0.1667
Fe3 0.6667 0.3333 0.8333

## Properties
Energy   -0.5688 Ry/atom
Space group   R-3m, No. 166
Fermi-level density of states   14.4 states/eV/cell
Size of the total moment   1.4 μB/f.u.
Calculated formation energy   0.5615 eV/atom

***

(7)
A plane-wave DFT calculation with PBE was carried out for a relaxed structure of Sm6TlTc2.

a = 8.7275 Å, b = 8.7275 Å, c = 8.7275 Å
α = 112.12°, β = 110.82°, γ = 105.54°
Fractional coordinates of all 18 atoms:
Sm1 0.0143 0.2310 0.7833
Sm2 0.1914 0.2854 0.4767
Sm3 0.1914 0.7146 0.9060
Sm4 0.3149 0.0227 0.7078
Sm5 0.3149 0.6071 0.2922
Sm6 0.4477 0.2310 0.2167
Sm7 0.5523 0.7690 0.7833
Sm8 0.6851 0.3929 0.7078
Sm9 0.6851 0.9773 0.2922
Sm10 0.8086 0.2854 0.0940
Sm11 0.8086 0.7146 0.5233
Sm12 0.9857 0.7690 0.2167
Tl1 0.0000 0.0000 0.0000
Tl2 0.5000 0.5000 0.0000
Tc1 0.1133 0.6133 0.5000
Tc2 0.3779 0.0000 0.3779
Tc3 0.6221 0.0000 0.6221
Tc4 0.8867 0.3867 0.5000

## Properties
Energy   -0.4272 Ry/atom
Space group   Immm, No. 71
Fermi-level density of states   17.3 states/eV/cell
Size of the total moment   0.0 μB/f.u.
Calculated formation energy   -0.0992 eV/atom

***

(8)
A plane-wave DFT calculation with PBE was carried out for a relaxed structure of Ac3NdNi2.

a = 9.0671 Å, b = 9.0671 Å, c = 12.5905 Å
α = 123.81°, β = 123.81°, γ = 26.36°
Fractional coordinates of all 12 atoms:
Ac1 0.0853 0.0853 0.4498
Ac2 0.0869 0.0869 0.9405
Ac3 0.3426 0.3426 0.7468
Ac4 0.6574 0.6574 0.2532
Ac5 0.9131 0.9131 0.0595
Ac6 0.9147 0.9147 0.5502
Nd1 0.3384 0.3384 0.2387
Nd2 0.6616 0.6616 0.7613
Ni1 0.2657 0.2657 0.9522
Ni2 0.2670 0.2670 0.4528
Ni3 0.7330 0.7330 0.5472
Ni4 0.7343 0.7343 0.0478

## Properties
Energy   -0.3646 Ry/atom
Space group   C2/m, No. 12
Fermi-level density of states   15.6 states/eV/cell
Size of the total moment   0.0 μB/f.u.
Calculated formation energy   -0.1849 eV/atom

***

(9)
A plane-wave DFT calculation with PBE was carried out for a relaxed structure of Ba4NaAu.

a = 10.5377 Å, b = 10.5377 Å, c = 8.1930 Å
α = 106.36°, β = 106.36°, γ = 117.69°
Fractional coordinates of all 12 atoms:
Ba1 0.0715 0.6594 0.8701
Ba2 0.1737 0.2674 0.7159
Ba3 0.2674 0.1737 0.2159
Ba4 0.3406 0.9285 0.6299
Ba5 0.6594 0.0715 0.3701
Ba6 0.7326 0.8263 0.7841
Ba7 0.8263 0.7326 0.2841
Ba8 0.9285 0.3406 0.1299
Na1 0.3829 0.6171 0.2500
Na2 0.6171 0.3829 0.7500
Au1 0.0707 0.9293 0.7500
Au2 0.9293 0.0707 0.2500

## Properties
Energy above the lowest structure with this stoichiometry   0.24 eV per formula unit
Energy   -0.1652 Ry/atom
Space group   C2/c, No. 15
Fermi-level density of states   11.8 states/eV/cell
Size of the total moment   0.0 μB/f.u.
Calculated formation energy   -0.1997 eV/atom

***

(10)
A plane-wave DFT calculation with PBE was carried out for a relaxed structure of Na2Y2Mo.

a = 5.6620 Å, b = 5.6620 Å, c = 8.0468 Å
α = 90.00°, β = 90.00°, γ = 90.00°
Fractional coordinates of all 10 atoms:
Na1 0.0000 0.0000 0.1378
Na2 0.0000 0.0000 0.8622
Na3 0.5000 0.5000 0.3622
Na4 0.5000 0.5000 0.6378
Y1 0.0000 0.5000 0.2500
Y2 0.0000 0.5000 0.7500
Y3 0.5000 0.0000 0.2500
Y4 0.5000 0.0000 0.7500
Mo1 0.0000 0.0000 0.5000
Mo2 0.5000 0.5000 0.0000

## Properties
Energy above the lowest structure with this stoichiometry   0.42 eV per formula unit
Energy   -0.3129 Ry/atom
Space group   I4/mmm, No. 139
Fermi-level density of states   13.7 states/eV/cell
Size of the total moment   2.1 μB/f.u.
Calculated formation energy   1.0216 eV/atom

***

(11)
A plane-wave DFT calculation with PBE was carried out for a relaxed structure of CaZr2Tc.

a = 6.2468 Å, b = 10.0821 Å, c = 2.9769 Å
α = 90.00°, β = 114.24°, γ = 90.00°
Fractional coordinates of all 8 atoms:
Ca1 0.0000 0.0000 0.0000
Ca2 0.5000 0.5000 0.0000
Zr1 0.2500 0.2500 0.5000
Zr2 0.2500 0.7500 0.5000
Zr3 0.7500 0.2500 0.5000
Zr4 0.7500 0.7500 0.5000
Tc1 0.0000 0.5000 0.0000
Tc2 0.5000 0.0000 0.0000

## Properties
Energy above the lowest structure with this stoichiometry   1.76 eV per formula unit
Energy   -0.5109 Ry/atom
Space group   C2/m, No. 12
Fermi-level density of states   10.8 states/eV/cell
Size of the total moment   0.0 μB/f.u.
Calculated formation energy   0.4155 eV/atom

***

(12)
A plane-wave DFT calculation with PBE was carried out for a relaxed structure of AcNdCdCu.

a = 7.7134 Å, b = 7.7134 Å, c = 7.7134 Å
α = 90.00°, β = 90.00°, γ = 90.00°
Fractional coordinates of all 16 atoms:
Ac1 0.0000 0.0000 0.0000
Ac2 0.0000 0.5000 0.5000
Ac3 0.5000 0.0000 0.5000
Ac4 0.5000 0.5000 0.0000
Nd1 0.0000 0.0000 0.5000
Nd2 0.0000 0.5000 0.0000
Nd3 0.5000 0.0000 0.0000
Nd4 0.5000 0.5000 0.5000
Cd1 0.2500 0.2500 0.2500
Cd2 0.2500 0.7500 0.7500
Cd3 0.7500 0.2500 0.7500
Cd4 0.7500 0.7500 0.2500
Cu1 0.2500 0.2500 0.7500
Cu2 0.2500 0.7500 0.2500
Cu3 0.7500 0.2500 0.2500
Cu4 0.7500 0.7500 0.7500

## Properties
Energy   -0.2660 Ry/atom
Space group   F-43m, No. 216
Fermi-level density of states   14.2 states/eV/cell
Size of the total moment   0.0 μB/f.u.
Calculated formation energy   -0.1466 eV/atom